[1]
Crystalline TaReAu2 at its relaxed geometry. Source: the Alexandria database, functional PBE.

a = 3.9314 Å, b = 3.9546 Å, c = 4.3189 Å
α = 90.00°, β = 90.00°, γ = 90.00°
Last column: nearest neighbours and their distance in Å.
Positions (direct):
Ta1 0.0000 0.0000 0.0000  4 Re 2.79, 8 Au 2.92-2.93
Re1 0.5000 0.5000 0.0000  4 Ta 2.79, 8 Au 2.92-2.93
Au1 0.0000 0.5000 0.5000  4 Au 2.79, 4 Re 2.92, 4 Ta 2.93
Au2 0.5000 0.0000 0.5000  4 Au 2.79, 4 Ta 2.92, 4 Re 2.93

Values from the calculation:
Calculated density in g/cm³: 18.8
Calculated total energy in eV per atom: -7.5520
Density of states at the Fermi level in states/eV/atom: 0.3189
Symmetry: No. 47
Total magnetization in Bohr magnetons per cell: 0.0
Energy of formation from the pure elements in meV/atom: 162
Polymorph energy (0 for the lowest one) in eV/atom: 0.054


[2]
Crystalline Ca2LaInPd at its relaxed geometry. Source: the Alexandria database, functional PBE.

a = 5.5473 Å, b = 5.5473 Å, c = 5.5509 Å
α = 90.00°, β = 90.00°, γ = 90.00°
Last column: nearest neighbours and their distance in Å.
Positions (direct):
Ca1 0.0000 0.5000 0.0000  2 Pd 2.77
Ca2 0.5000 0.0000 0.0000  2 Pd 2.77
La1 0.0000 0.0000 0.5000  2 Pd 2.78
In1 0.5000 0.5000 0.5000  4 La 3.92, 8 Ca 3.92
Pd1 0.0000 0.0000 0.0000  4 Ca 2.77, 2 La 2.78

Values from the calculation:
Calculated density in g/cm³: 4.3
Calculated total energy in eV per atom: -3.7255
Density of states at the Fermi level in states/eV/atom: 0.7864
Symmetry: No. 123
Total magnetization in Bohr magnetons per cell: 0.0
Energy of formation from the pure elements in meV/atom: -353


[3]
Crystalline CsInO2 at its relaxed geometry. Source: the Alexandria database, functional PBE.

a = 3.6722 Å, b = 3.6722 Å, c = 7.3914 Å
α = 90.00°, β = 90.00°, γ = 120.00°
Last column: nearest neighbours and their distance in Å.
Positions (direct):
Cs1 0.0000 0.0000 0.0000  3 O 2.73
In1 0.3333 0.6667 0.5013  1 O 1.96
O1 0.3333 0.6667 0.7671  1 In 1.96
O2 0.6667 0.3333 0.3954  3 In 2.26

Values from the calculation:
Calculated density in g/cm³: 5.4
Calculated total energy in eV per atom: -4.5428
Density of states at the Fermi level in states/eV/atom: 1.7317
Symmetry: No. 156
Total magnetization in Bohr magnetons per cell: 0.0